Compound: SmCd3Cu8
Source: Alexandria via LeMat-Bulk
Functional: PBE
Structure: relaxed

Cell and atoms, written as extended XYZ:
```
12
Lattice="2.5366 1.4645 8.4057 -2.5366 1.4645 8.4057 0.0000 -2.9290 8.4057" Properties=species:S:1:pos:R:3 pbc="T T T"
Sm 0.0000 0.0000 0.0000
Cd 0.0000 0.0000 9.6396
Cd 0.0000 0.0000 12.6469
Cd 0.0000 0.0000 21.9860
Cu 0.0000 0.0000 4.7271
Cu 0.0000 -1.4616 15.1932
Cu -1.2658 0.7308 15.1932
Cu -1.2636 -0.7295 19.4790
Cu 0.0000 0.0000 17.3587
Cu 1.2658 0.7308 15.1932
Cu 1.2636 -0.7295 19.4790
Cu 0.0000 1.4591 19.4790
```

Properties
Energy above the lowest structure with this stoichiometry in meV per atom: 0.0
Energy in Ha/atom: -0.12658
Symmetry: R3m (160)
Calculated density in Mg/m³: 8.83